Crystalline TlVTc2 at its relaxed geometry, computed with GGA-PBE.

Summary:
calculated volume	146.1	Å³/cell
Fermi-level density of states	7.491	states/eV per cell
raw total energy	-7.20	eV/atom
symmetry	No. 122
ΔE_f	331	kJ/mol of formula units
relative energy among the computed polymorphs	0.448	eV/atom

Cell: 9.6201 9.6201 9.6201 Å, 156.09 156.09 34.07°
Fractional positions:
Tl1 0.0000 0.0000 0.0000
Tl2 0.7500 0.2500 0.5000
V1 0.2500 0.7500 0.5000
V2 0.5000 0.5000 0.0000
Tc1 0.2007 0.6250 0.0757
Tc2 0.3750 0.4507 0.5757
Tc3 0.5493 0.1250 0.9243
Tc4 0.8750 0.7993 0.4243

Crystalline TlV3Tc at its relaxed geometry, computed with GGA-PBE.

Summary:
calculated volume	96.3	Å³/cell
Fermi-level density of states	5.005	states/eV per cell
raw total energy	-7.04	eV/atom
symmetry	No. 221
ΔE_f	472	kJ/mol of formula units
relative energy among the computed polymorphs	0.000	eV/atom

Cell: 4.5833 4.5833 4.5833 Å, 90.00 90.00 90.00°
Fractional positions:
Tl1 0.0000 0.0000 0.0000
V1 0.0000 0.5000 0.5000
V2 0.5000 0.0000 0.5000
V3 0.5000 0.5000 0.0000
Tc1 0.5000 0.5000 0.5000

Crystalline TlTc2W at its relaxed geometry, computed with GGA-PBE.

Summary:
calculated volume	69.4	Å³/cell
Fermi-level density of states	3.486	states/eV per cell
raw total energy	-8.46	eV/atom
symmetry	No. 10
ΔE_f	213	kJ/mol of formula units
relative energy among the computed polymorphs	0.186	eV/atom

Cell: 2.9197 4.1116 5.8423 Å, 90.00 98.36 90.00°
Fractional positions:
Tl1 0.0000 0.0000 0.0000
Tc1 0.3842 0.5000 0.7123
Tc2 0.6158 0.5000 0.2877
W1 0.0000 0.0000 0.5000

Crystalline TlTc2W at its relaxed geometry, computed with GGA-PBE.

Summary:
calculated volume	68.8	Å³/cell
Fermi-level density of states	4.358	states/eV per cell
raw total energy	-8.35	eV/atom
symmetry	No. 35
ΔE_f	256	kJ/mol of formula units
relative energy among the computed polymorphs	0.299	eV/atom

Cell: 2.8399 2.8399 9.3698 Å, 90.00 90.00 114.40°
Fractional positions:
Tl1 0.0000 0.0000 0.0000
Tc1 0.0000 0.0000 0.5073
Tc2 0.5000 0.5000 0.7330
W1 0.5000 0.5000 0.2780

Crystalline TlTc2W at its relaxed geometry, computed with GGA-PBE.

Summary:
calculated volume	68.1	Å³/cell
Fermi-level density of states	3.394	states/eV per cell
raw total energy	-8.37	eV/atom
symmetry	No. 71
ΔE_f	248	kJ/mol of formula units
relative energy among the computed polymorphs	0.277	eV/atom

Cell: 5.3625 5.3625 5.3625 Å, 146.04 126.93 64.52°
Fractional positions:
Tl1 0.0000 0.0000 0.0000
Tc1 0.2720 0.7720 0.5000
Tc2 0.7280 0.2280 0.5000
W1 0.5000 0.5000 0.0000

Crystalline TlTc2W at its relaxed geometry, computed with GGA-PBE.

Summary:
calculated volume	67.9	Å³/cell
Fermi-level density of states	4.692	states/eV per cell
raw total energy	-8.44	eV/atom
symmetry	No. 160
ΔE_f	221	kJ/mol of formula units
relative energy among the computed polymorphs	0.208	eV/atom

Cell: 9.5629 9.5629 9.5629 Å, 17.35 17.35 17.35°
Fractional positions:
Tl1 0.0000 0.0000 0.0000
Tc1 0.2449 0.2449 0.2449
Tc2 0.5047 0.5047 0.5047
W1 0.7579 0.7579 0.7579